The following is a DFT calculation (GGA+U) of a relaxed SrEuNbWO6 crystal.

POSCAR file:
```
SrEuNbWO6
1.0
0.220 -5.749 -0.904
-2.925 -2.362 -4.448
2.892 -2.118 -4.590
Sr O Eu W Nb
1 6 1 1 1
direct
0.250 0.250 0.250 Sr
0.757 0.243 0.243 O
0.757 0.243 0.757 O
0.243 0.757 0.243 O
0.243 0.757 0.757 O
0.243 0.243 0.757 O
0.757 0.757 0.243 O
0.750 0.750 0.750 Eu
0.500 0.500 0.500 W
0.000 0.000 0.000 Nb
```

Summary:
* energy: -8.4602 eV per atom
* size of the total moment: 0.992 μB/atom
* SG: F-43m, No. 216